Below is a geometry-optimized TeRuRh structure, with properties calculated at the PBE level.

Unit cell a=3.1639 b=3.9740 c=8.0873 alpha=90.00 beta=90.00 gamma=90.00
Space group Imm2 (No. 44)
Inequivalent atoms, fractional coordinates:
Te 0.0000 0.0000 0.0000 x2
Ru 0.0000 0.0000 0.3286 x2
Rh 0.0000 0.0000 0.6755 x2

Summary:
The formation energy (no corrections) is 0.34 eV/atom. The mass density is 10.83 g/cm³.